1.
TiPd7Au4 after structural relaxation, computed with PBE. Values from VASP.

Output
SG: No. 12
Relative energy among the computed polymorphs (meV per atom): 109
Formation enthalpy at 0 K (meV/atom): -31
E_tot (eV per cell): -57.729
Total magnetic moment (μB/cell): 0.00

```
&SYSTEM
  ibrav = 0, nat = 12, ntyp = 3
/
ATOMIC_SPECIES
Ti 47.87 Ti.upf
Pd 106.42 Pd.upf
Au 196.97 Au.upf
CELL_PARAMETERS angstrom
4.896 -2.404 0.000
4.896 2.404 0.000
-3.393 0.000 8.890
ATOMIC_POSITIONS crystal
Ti 0.000 0.000 0.000
Pd 0.104 0.104 0.279
Pd 0.207 0.207 0.921
Pd 0.370 0.370 0.530
Pd 0.500 0.500 0.000
Pd 0.630 0.630 0.470
Pd 0.793 0.793 0.079
Pd 0.896 0.896 0.721
Au 0.136 0.136 0.616
Au 0.378 0.378 0.227
Au 0.622 0.622 0.773
Au 0.864 0.864 0.384
```



2.
Hg3Sb5Au12 after structural relaxation, computed with PBE. Values from VASP.

Output
SG: No. 230
E_tot (eV per cell): -234.171
Total magnetic moment (μB/cell): 0.00
Formation energy without anion corrections (eV per atom): 0.1151

```
&SYSTEM
  ibrav = 0, nat = 80, ntyp = 3
/
ATOMIC_SPECIES
Hg 200.59 Hg.upf
Sb 121.76 Sb.upf
Au 196.97 Au.upf
CELL_PARAMETERS angstrom
-8.036 8.036 8.036
8.036 -8.036 8.036
8.036 8.036 -8.036
ATOMIC_POSITIONS crystal
Hg 0.125 0.250 0.375
Hg 0.125 0.375 0.750
Hg 0.250 0.375 0.125
Hg 0.250 0.875 0.625
Hg 0.375 0.125 0.250
Hg 0.375 0.750 0.125
Hg 0.625 0.250 0.875
Hg 0.625 0.875 0.750
Hg 0.750 0.125 0.375
Hg 0.750 0.625 0.875
Hg 0.875 0.625 0.250
Hg 0.875 0.750 0.625
Sb 0.000 0.000 0.000
Sb 0.000 0.000 0.500
Sb 0.000 0.500 0.000
Sb 0.000 0.500 0.500
Sb 0.125 0.750 0.875
Sb 0.125 0.875 0.250
Sb 0.250 0.125 0.875
Sb 0.250 0.625 0.375
Sb 0.375 0.250 0.625
Sb 0.375 0.625 0.750
Sb 0.500 0.000 0.000
Sb 0.500 0.000 0.500
Sb 0.500 0.500 0.000
Sb 0.500 0.500 0.500
Sb 0.625 0.375 0.250
Sb 0.625 0.750 0.375
Sb 0.750 0.375 0.625
Sb 0.750 0.875 0.125
Sb 0.875 0.125 0.750
Sb 0.875 0.250 0.125
Au 0.064 0.228 0.145
Au 0.064 0.336 0.920
Au 0.080 0.645 0.417
Au 0.080 0.936 0.664
Au 0.083 0.728 0.664
Au 0.083 0.855 0.420
Au 0.145 0.064 0.228
Au 0.145 0.580 0.917
Au 0.164 0.228 0.583
Au 0.164 0.436 0.580
Au 0.228 0.145 0.064
Au 0.228 0.583 0.164
Au 0.272 0.336 0.917
Au 0.272 0.436 0.355
Au 0.336 0.917 0.272
Au 0.336 0.920 0.064
Au 0.355 0.272 0.436
Au 0.355 0.583 0.920
Au 0.417 0.080 0.645
Au 0.417 0.836 0.772
Au 0.420 0.083 0.855
Au 0.420 0.836 0.564
Au 0.436 0.355 0.272
Au 0.436 0.580 0.164
Au 0.564 0.420 0.836
Au 0.564 0.645 0.728
Au 0.580 0.164 0.436
Au 0.580 0.917 0.145
Au 0.583 0.164 0.228
Au 0.583 0.920 0.355
Au 0.645 0.417 0.080
Au 0.645 0.728 0.564
Au 0.664 0.080 0.936
Au 0.664 0.083 0.728
Au 0.728 0.564 0.645
Au 0.728 0.664 0.083
Au 0.772 0.417 0.836
Au 0.772 0.855 0.936
Au 0.836 0.564 0.420
Au 0.836 0.772 0.417
Au 0.855 0.420 0.083
Au 0.855 0.936 0.772
Au 0.917 0.145 0.580
Au 0.917 0.272 0.336
Au 0.920 0.064 0.336
Au 0.920 0.355 0.583
Au 0.936 0.664 0.080
Au 0.936 0.772 0.855
```